1.
Density functional theory data (PBE) for crystalline Ho3CoPt at its relaxed geometry.

The spin magnetization comes out at 0.0000 μB/atom. For the uncorrected energy, the calculation gives -59.5 eV for the cell shown. For the energy relative to the elements, the calculation gives -0.570 eV per atom.

It has space group Pmmn (No. 59, origin choice 2), with a = 3.997 Å, b = 6.708 Å, c = 8.707 Å, α = 90.00°, β = 90.00° and γ = 90.00°. The asymmetric unit holds Ho at (0.250, 0.008, 0.161), Ho at (0.250, 0.250, 0.561), Co at (0.250, 0.250, 0.889) and Pt at (0.250, 0.750, 0.664).

=====

2.
Density functional theory data (PBE) for crystalline As2SeBr at its relaxed geometry.

The spin magnetization comes out at 0.0000 μB/atom. The value obtained for the raw formation energy is 6.24 kcal/mol of atoms. For the uncorrected energy, the calculation gives -40.1 eV for the cell shown. The calculation puts the offset from the most stable computed form at 313 meV/atom.

It has space group R-3m (No. 166, hexagonal axes), with a = 3.5535 Å, b = 3.5535 Å, c = 24.7245 Å, α = 90.00°, β = 90.00° and γ = 120.00°. The asymmetric unit holds As at (0.0000, 0.0000, 0.2407), Se at (0.0000, 0.0000, 0.5000) and Br at (0.0000, 0.0000, 0.0000).

=====

3.
Density functional theory data (PBE) for crystalline NpOsRu at its relaxed geometry.

The spin magnetization comes out at 0.4287 μB/atom. For the uncorrected energy, the calculation gives -64.9 eV for the cell shown. For the energy relative to the elements, the calculation gives 0.337 eV per atom.

It has space group I4mm (No. 107), with a = 3.371 Å, b = 3.371 Å, c = 9.060 Å, α = 90.00°, β = 90.00° and γ = 90.00°. The asymmetric unit holds Np at (0.000, 0.000, 0.000), Os at (0.000, 0.000, 0.660) and Ru at (0.000, 0.000, 0.341).

=====

4.
Density functional theory data (PBE) for crystalline InFeB3 at its relaxed geometry.

The spin magnetization comes out at 0.0002 μB/atom. For the uncorrected energy, the calculation gives -26.7 eV for the cell shown. The calculation puts the offset from the most stable computed form at 0 meV/atom. For the energy relative to the elements, the calculation gives 0.901 eV per atom.

It has space group Pm-3m (No. 221), with a = 3.942 Å, b = 3.942 Å, c = 3.942 Å, α = 90.00°, β = 90.00° and γ = 90.00°. The asymmetric unit holds In at (0.000, 0.000, 0.000), Fe at (0.500, 0.500, 0.500) and B at (0.000, 0.500, 0.500).

=====

5.
Density functional theory data (PBE) for crystalline Pr8YEr6 at its relaxed geometry.

The spin magnetization comes out at 0.0000 μB/atom. For the uncorrected energy, the calculation gives -69.5 eV for the cell shown. The calculation puts the offset from the most stable computed form at 11 meV/atom. For the energy relative to the elements, the calculation gives 0.173 eV per atom.

It has space group P-3 (No. 147), with a = 9.4689 Å, b = 9.4689 Å, c = 6.5964 Å, α = 90.00°, β = 90.00° and γ = 120.00°. The asymmetric unit holds Pr at (0.0388, 0.7487, 0.1669), Pr at (0.3333, 0.6667, 0.1202), Y at (0.0000, 0.0000, 0.5000) and Er at (0.0959, 0.6582, 0.6555).

=====

6.
Density functional theory data (PBE) for crystalline La2PrSiN at its relaxed geometry.

The spin magnetization comes out at 0.0000 μB/atom. The value obtained for the raw formation energy is -15.94 kcal/mol of atoms. For the uncorrected energy, the calculation gives -127.4 eV for the cell shown.

It has space group Cmcm (No. 63), with a = 4.004 Å, b = 16.696 Å, c = 7.688 Å, α = 90.00°, β = 90.00° and γ = 90.00°. The asymmetric unit holds La at (0.000, 0.146, 0.021), Pr at (0.000, 0.492, 0.250), Si at (0.000, 0.313, 0.250) and N at (0.000, 0.000, 0.000).

=====

7.
Density functional theory data (PBE) for crystalline NpBe2RhO8 at its relaxed geometry.

The spin magnetization comes out at 0.1736 μB/atom. The value obtained for the raw formation energy is -34.98 kcal/mol of atoms. For the uncorrected energy, the calculation gives -85.6 eV for the cell shown.

It has space group P-3m1 (No. 164), with a = 5.2809 Å, b = 5.2809 Å, c = 5.8101 Å, α = 90.00°, β = 90.00° and γ = 120.00°. The asymmetric unit holds Np at (0.0000, 0.0000, 0.0000), Be at (0.3333, 0.6667, 0.1977), Rh at (0.0000, 0.0000, 0.5000), O at (0.1608, 0.3216, 0.2630) and O at (0.3333, 0.6667, 0.9228).

=====

8.
Density functional theory data (PBE) for crystalline HgMoSe at its relaxed geometry.

The spin magnetization comes out at 0.0000 μB/atom. The value obtained for the raw formation energy is -0.63 kcal/mol of atoms. For the uncorrected energy, the calculation gives -14.7 eV for the cell shown. The calculation puts the offset from the most stable computed form at 0 meV/atom.

It has space group P3m1 (No. 156), with a = 3.1930 Å, b = 3.1930 Å, c = 7.0221 Å, α = 90.00°, β = 90.00° and γ = 120.00°. The asymmetric unit holds Hg at (0.0000, 0.0000, 0.0000), Mo at (0.3333, 0.6667, 0.3324) and Se at (0.6667, 0.3333, 0.5696).

=====

9.
Density functional theory data (PBE) for crystalline SrAlNi2Sn at its relaxed geometry.

The spin magnetization comes out at 0.0000 μB/atom. For the uncorrected energy, the calculation gives -18.6 eV for the cell shown. For the energy relative to the elements, the calculation gives 0.487 eV per atom.

It has space group P4/mmm (No. 123), with a = 4.584 Å, b = 4.584 Å, c = 5.655 Å, α = 90.00°, β = 90.00° and γ = 90.00°. The asymmetric unit holds Sr at (0.000, 0.000, 0.000), Al at (0.000, 0.000, 0.500), Ni at (0.000, 0.500, 0.500) and Sn at (0.500, 0.500, 0.000).

=====

10.
Density functional theory data (PBE) for crystalline Pr6HgPd3 at its relaxed geometry.

The spin magnetization comes out at 0.0000 μB/atom. For the uncorrected energy, the calculation gives -195.1 eV for the cell shown. For the energy relative to the elements, the calculation gives -0.422 eV per atom.

It has space group Cmc2_1 (No. 36), with a = 11.485 Å, b = 14.540 Å, c = 7.352 Å, α = 90.00°, β = 90.00° and γ = 90.00°. The asymmetric unit holds Pr at (0.000, 0.010, 0.000), Pr at (0.000, 0.233, 0.664), Pr at (0.169, 0.459, 0.584), Pr at (0.200, 0.286, 0.007), Hg at (0.000, 0.191, 0.248), Pd at (0.000, 0.413, 0.884) and Pd at (0.179, 0.096, 0.767).

=====

11.
Density functional theory data (PBE) for crystalline LaCd2IrBr at its relaxed geometry.

The spin magnetization comes out at 0.0000 μB/atom. The value obtained for the raw formation energy is -13.11 kcal/mol of atoms. For the uncorrected energy, the calculation gives -20.1 eV for the cell shown.

It has space group P4/mmm (No. 123), with a = 5.273 Å, b = 5.273 Å, c = 5.366 Å, α = 90.00°, β = 90.00° and γ = 90.00°. The asymmetric unit holds La at (0.000, 0.000, 0.000), Cd at (0.000, 0.500, 0.500), Ir at (0.000, 0.000, 0.500) and Br at (0.500, 0.500, 0.000).

=====

12.
Density functional theory data (PBE) for crystalline Rb3Si at its relaxed geometry.

The spin magnetization comes out at 0.2603 μB/atom. The value obtained for the raw formation energy is 8.51 kcal/mol of atoms. For the uncorrected energy, the calculation gives -13.7 eV for the cell shown. The calculation puts the offset from the most stable computed form at 9 meV/atom.

It has space group P6_3/mmc (No. 194), with a = 8.6277 Å, b = 8.6277 Å, c = 6.1347 Å, α = 90.00°, β = 90.00° and γ = 120.00°. The asymmetric unit holds Rb at (0.1871, 0.3743, 0.2500) and Si at (0.3333, 0.6667, 0.7500).

=====

Repeat the second record exactly.
Density functional theory data (PBE) for crystalline As2SeBr at its relaxed geometry.

The spin magnetization comes out at 0.0000 μB/atom. The value obtained for the raw formation energy is 6.24 kcal/mol of atoms. For the uncorrected energy, the calculation gives -40.1 eV for the cell shown. The calculation puts the offset from the most stable computed form at 313 meV/atom.

It has space group R-3m (No. 166, hexagonal axes), with a = 3.5535 Å, b = 3.5535 Å, c = 24.7245 Å, α = 90.00°, β = 90.00° and γ = 120.00°. The asymmetric unit holds As at (0.0000, 0.0000, 0.2407), Se at (0.0000, 0.0000, 0.5000) and Br at (0.0000, 0.0000, 0.0000).

=====

Please write out number 11 again, unchanged.
Density functional theory data (PBE) for crystalline LaCd2IrBr at its relaxed geometry.

The spin magnetization comes out at 0.0000 μB/atom. The value obtained for the raw formation energy is -13.11 kcal/mol of atoms. For the uncorrected energy, the calculation gives -20.1 eV for the cell shown.

It has space group P4/mmm (No. 123), with a = 5.273 Å, b = 5.273 Å, c = 5.366 Å, α = 90.00°, β = 90.00° and γ = 90.00°. The asymmetric unit holds La at (0.000, 0.000, 0.000), Cd at (0.000, 0.500, 0.500), Ir at (0.000, 0.000, 0.500) and Br at (0.500, 0.500, 0.000).

=====

Which formula does entry 5 have? Pr8YEr6

=====

Which formula does entry 1 have? Ho3CoPt